# Ca4HfNb3N8 | Alexandria | GGA-PBE | optimized geometry
# - density (kg/m³) = 6044
# - N(E_F) (states/eV/f.u.) = 4.5
# - final energy (eV/atom) = -8.42
# - E_form (uncorrected) (eV per atom) = -1.25
data_Ca4HfNb3N8
_symmetry_space_group_name_H-M 'R -3 m'
_symmetry_Int_Tables_number 166
_symmetry_space_group_name_Hall '-R 3 2"'
_cell_length_a 6.4369
_cell_length_b 6.4369
_cell_length_c 16.7596
_cell_angle_alpha 90.00
_cell_angle_beta 90.00
_cell_angle_gamma 120.00
loop_
_atom_site_label
_atom_site_fract_x
_atom_site_fract_y
_atom_site_fract_z
Ca1 0.0000 0.0000 0.0000
Ca2 0.0000 0.5000 0.0000
Hf1 0.0000 0.0000 0.5000
Nb1 0.0000 0.5000 0.5000
N1 0.0000 0.0000 0.2390
N2 0.0027 0.5013 0.7618